A relaxed BaPrBr2 crystal. Source: Alexandria via LeMat-Bulk, functional GGA-PBE. Values from VASP.

The structure in Quantum ESPRESSO input format:
```
&SYSTEM
  ibrav = 0, nat = 4, ntyp = 3
/
ATOMIC_SPECIES
Ba 137.33 Ba.upf
Pr 140.91 Pr.upf
Br 79.90 Br.upf
ATOMIC_POSITIONS angstrom
Ba 0.0000 0.0000 0.0000
Pr 0.0000 0.0000 16.1950
Br 0.0000 0.0000 3.3083
Br 0.0000 0.0000 29.0817
CELL_PARAMETERS angstrom
2.0038 1.1569 10.7967
-2.0038 1.1569 10.7967
0.0000 -2.3138 10.7967
```

The raw total energy comes out at -3.726 eV/atom. The value obtained for the energy relative to the elements, uncorrected is -1214 meV per atom. The calculation puts the size of the total moment at 0.00 μB/atom.